No. 1
Below is crystalline Li4Ca2H at its relaxed geometry, with properties calculated at the PBE-GGA level.

Computed properties:
- Crystal system: tetragonal

Unit cell a=4.2699 b=4.2699 c=9.4997 alpha=77.01 beta=77.01 gamma=90.00
Last column: nearest neighbours and their distance in Å.
Sites, in units of the cell vectors:
Li (0.0000, 0.5000, 0.0000)  2 H 2.13
Li (0.1042, 0.1042, 0.7916)  1 H 1.88
Li (0.5000, 0.0000, 0.0000)  2 H 2.13
Li (0.8958, 0.8958, 0.2084)  1 H 1.88
Ca (0.6834, 0.6834, 0.6331)  4 Li 3.34
Ca (0.3166, 0.3166, 0.3669)  4 Li 3.34
H (0.0000, 0.0000, 0.0000)  2 Li 1.88

=====

No. 2
Below is crystalline CsCaReCl2 at its relaxed geometry, with properties calculated at the PBE-GGA level.

Computed properties:
- Energy relative to the elements, uncorrected: 0.1420 eV/atom
- Crystal system: tetragonal

Unit cell a=5.3343 b=5.3161 c=5.3343 alpha=90.00 beta=90.00 gamma=90.00
Last column: nearest neighbours and their distance in Å.
Sites, in units of the cell vectors:
Re (0.0000, 0.0000, 0.0000)  2 Ca 2.66, 4 Cl 2.67
Cl (0.5000, 0.0000, 0.0000)  2 Re 2.67
Cl (0.0000, 0.0000, 0.5000)  2 Re 2.67
Cs (0.5000, 0.5000, 0.5000)  8 Cl 3.77, 4 Ca 3.77
Ca (0.0000, 0.5000, 0.0000)  2 Re 2.66

=====

No. 3
Below is crystalline Nb2InCuC at its relaxed geometry, with properties calculated at the PBE-GGA level.

Computed properties:
- Crystal system: tetragonal

Unit cell a=5.2384 b=3.8578 c=5.2384 alpha=90.00 beta=90.00 gamma=90.00
Last column: nearest neighbours and their distance in Å.
Sites, in units of the cell vectors:
Cu (0.5000, 0.5000, 0.5000)  8 Nb 3.25
Nb (0.0000, 0.0000, 0.5000)  2 In 2.62
Nb (0.5000, 0.0000, 0.0000)  2 In 2.62
C (0.0000, 0.5000, 0.0000)  2 In 1.93
In (0.0000, 0.0000, 0.0000)  2 C 1.93

=====

VASP energy for every record listed, in sequence, given in eV/atom: -2.18 -3.66 -4.77.
Spin magnetization for every record listed, in sequence, given in μB/cell: 0.000 1.588 1.480.